VASP calculation (PBE) on V3Mo7W2 after structural relaxation.

Lattice parameters (Å, degrees): 10.9823 10.9823 4.3175 90.00 90.00 156.95
Last column: nearest neighbours and their distance in Å.
Element x y z (fractional)
1 V 0.0000 0.0000 0.0000  8 Mo 2.67-2.70
2 V 0.1473 0.8527 0.0000  6 Mo 2.59-2.71
3 V 0.8527 0.1473 0.0000  6 Mo 2.59-2.71
4 Mo 0.0734 0.9266 0.5000  4 V 2.67-2.68, 2 W 2.70, 2 Mo 2.70
5 Mo 0.2139 0.7861 0.5000  2 V 2.59, 2 W 2.63, 2 Mo 2.69
6 Mo 0.4267 0.5733 0.0000  2 Mo 2.67, 2 W 2.67, 4 V 2.70-2.71
7 Mo 0.5000 0.5000 0.5000  8 Mo 2.67-2.70
8 Mo 0.5733 0.4267 0.0000  2 Mo 2.67, 2 W 2.67, 4 V 2.70-2.71
9 Mo 0.7861 0.2139 0.5000  2 V 2.59, 2 W 2.63, 2 Mo 2.69
10 Mo 0.9266 0.0734 0.5000  4 V 2.67-2.68, 2 W 2.70, 2 Mo 2.70
11 W 0.3533 0.6467 0.5000  6 Mo 2.63-2.70
12 W 0.6467 0.3533 0.5000  6 Mo 2.63-2.70

- space-group type = Cmmm (65)
- ΔE_f (eV/atom) = 0.370



VASP calculation (PBE) on V7MoW2 after structural relaxation.

Lattice parameters (Å, degrees): 6.1667 6.1667 6.1667 60.00 60.00 60.00
Last column: nearest neighbours and their distance in Å.
Element x y z (fractional)
1 V 0.0000 0.0000 0.0000  6 V 2.13
2 V 0.2437 0.2437 0.7563  1 V 2.13, 1 Mo 2.23
3 V 0.2437 0.7563 0.2437  1 V 2.13, 1 Mo 2.23
4 V 0.2437 0.7563 0.7563  1 V 2.13, 1 Mo 2.23
5 V 0.7563 0.2437 0.2437  1 V 2.13, 1 Mo 2.23
6 V 0.7563 0.2437 0.7563  1 V 2.13, 1 Mo 2.23
7 V 0.7563 0.7563 0.2437  1 V 2.13, 1 Mo 2.23
8 Mo 0.5000 0.5000 0.5000  6 V 2.23
9 W 0.2500 0.2500 0.2500  12 V 3.08
10 W 0.7500 0.7500 0.7500  12 V 3.08

- space-group type = Fm-3m (225)
- ΔE_f (eV/atom) = 1.350



VASP calculation (PBE) on V4Mo2W after structural relaxation.

Lattice parameters (Å, degrees): 2.6153 6.7779 6.8031 117.47 98.52 95.95
Last column: nearest neighbours and their distance in Å.
Element x y z (fractional)
1 V 0.1059 0.3606 0.0664  5 V 2.52-2.78, 1 W 2.64, 2 Mo 2.72-2.81
2 V 0.2453 0.2171 0.6492  2 Mo 2.61-2.82, 5 V 2.62-2.78, 1 W 2.62
3 V 0.7547 0.7829 0.3508  2 Mo 2.61-2.82, 5 V 2.62-2.78, 1 W 2.62
4 V 0.8941 0.6394 0.9336  5 V 2.52-2.78, 1 W 2.64, 2 Mo 2.72-2.81
5 Mo 0.4662 0.0653 0.2152  4 V 2.61-2.82, 3 Mo 2.62-2.68, 1 W 2.66
6 Mo 0.5338 0.9347 0.7848  4 V 2.61-2.82, 3 Mo 2.62-2.68, 1 W 2.66
7 W 0.5000 0.5000 0.5000  2 W 2.62, 4 V 2.62-2.64, 2 Mo 2.66

- space-group type = P-1 (2)
- ΔE_f (eV/atom) = 0.100
- polymorph energy (0 for the lowest one) (eV per formula unit) = 0.00



Calculated total energy
In order: -124.6, -87.1, -70.4
Unit: eV/cell
DOS(E_F)
In order: 0.901, 1.765, 1.311
Unit: states/eV/atom